Entry 1:
VASP calculation (GGA-PBEsol) on crystalline HfFe2Tc at its relaxed geometry.

The value obtained for the formation energy is -1.9 kJ per mole of atoms. The density of states at the Fermi level is 5.361 states/eV/cell. The uncorrected energy comes out at -9.94 eV/atom. The magnetic moment is 3.18 μB/cell.

Cell lengths 4.251, 4.251, 4.251 Å; angles 60.00, 60.00, 60.00 degrees
Each line ends with the local moment (μB).
Sites, in units of the cell vectors:
Fe  0.750  0.750  0.750  1.52
Fe  0.250  0.250  0.250  1.52
Hf  0.500  0.500  0.500  -0.24
Tc  0.000  0.000  0.000  0.43

---

Entry 2:
VASP calculation (GGA-PBEsol) on crystalline Cd3AgN at its relaxed geometry.

The density of states at the Fermi level is 2.219 states/eV/cell. The uncorrected energy comes out at -1.81 eV/atom. The magnetic moment is 2.41 μB/cell. The formation energy from raw total energies comes out at 1.274 eV per atom.

Cell lengths 5.186, 5.186, 5.186 Å; angles 90.00, 90.00, 90.00 degrees
Each line ends with the local moment (μB).
Sites, in units of the cell vectors:
N  0.500  0.500  0.500  1.63
Ag  0.000  0.000  0.000  0.00
Cd  0.000  0.500  0.000  0.01
Cd  0.000  0.000  0.500  0.01
Cd  0.500  0.000  0.000  0.01

---

Entry 3:
VASP calculation (GGA-PBEsol) on crystalline MgZnRuRh2 at its relaxed geometry.

The value obtained for the formation energy is 101.9 kJ per mole of atoms. The density of states at the Fermi level is 3.818 states/eV/cell. The uncorrected energy comes out at -4.89 eV/atom. The magnetic moment is 0.00 μB/cell.

Cell lengths 4.576, 4.576, 4.787 Å; angles 90.00, 90.00, 90.00 degrees
Sites, in units of the cell vectors:
Mg  0.000  0.000  0.500
Rh  0.000  0.500  0.000
Rh  0.500  0.000  0.000
Ru  0.000  0.000  0.000
Zn  0.500  0.500  0.500

---

Entry 4:
VASP calculation (GGA-PBEsol) on crystalline KHf3Br at its relaxed geometry.

The density of states at the Fermi level is 1.657 states/eV/cell. The uncorrected energy comes out at -6.02 eV/atom. The magnetic moment is 0.00 μB/cell. The formation energy from raw total energies comes out at 0.880 eV per atom.

Cell lengths 5.054, 5.054, 5.054 Å; angles 90.00, 90.00, 90.00 degrees
Sites, in units of the cell vectors:
Br  0.000  0.000  0.000
Hf  0.500  0.000  0.000
Hf  0.000  0.000  0.500
Hf  0.000  0.500  0.000
K  0.500  0.500  0.500

---

Entry 5:
VASP calculation (GGA-PBEsol) on crystalline Nd3Cd at its relaxed geometry.

The value obtained for the formation energy is -11.4 kJ per mole of atoms. The density of states at the Fermi level is 10.471 states/eV/cell. The uncorrected energy comes out at -4.29 eV/atom. The magnetic moment is 0.00 μB/cell. As for the energy above the most stable polymorph in this dataset: 0.0135 eV/atom.

Cell lengths 5.448, 7.019, 7.019 Å; angles 120.00, 90.00, 90.00 degrees
Sites, in units of the cell vectors:
Cd  0.250  0.667  0.333
Cd  0.750  0.333  0.667
Nd  0.750  0.825  0.175
Nd  0.750  0.351  0.175
Nd  0.750  0.825  0.649
Nd  0.250  0.175  0.825
Nd  0.250  0.649  0.825
Nd  0.250  0.175  0.351

---

Entry 6:
VASP calculation (GGA-PBEsol) on crystalline BeCuIO2 at its relaxed geometry.

The density of states at the Fermi level is 2.792 states/eV/cell. The uncorrected energy comes out at -4.35 eV/atom. The magnetic moment is 1.37 μB/cell. The formation energy from raw total energies comes out at -0.232 eV per atom.

Cell lengths 3.485, 3.485, 6.097 Å; angles 90.00, 90.00, 90.00 degrees
Each line ends with the local moment (μB).
Sites, in units of the cell vectors:
O  0.000  0.500  0.000  0.60
O  0.500  0.000  0.000  0.60
I  0.000  0.000  0.500  0.00
Be  0.000  0.000  0.000  -0.02
Cu  0.500  0.500  0.500  0.01